[1]
La3Pm2Tm3: relaxed, PBE.

```
data_La3Pm2Tm3
_space_group_name_H-M_alt 'P 1'
_space_group_IT_number 1
_space_group_name_Hall 'P 1'
_cell_length_a 5.950
_cell_length_b 5.991
_cell_length_c 8.685
_cell_angle_alpha 110.18
_cell_angle_beta 110.03
_cell_angle_gamma 90.00
loop_
_atom_site_label
_atom_site_type_symbol
_atom_site_fract_x
_atom_site_fract_y
_atom_site_fract_z
Pm1 Pm 0.246 0.247 0.492
Pm2 Pm 0.754 0.753 0.508
La1 La 0.500 0.500 0.000
La2 La 0.648 0.148 0.296
Tm1 Tm 0.880 0.379 0.759
La3 La 0.352 0.852 0.704
Tm2 Tm 0.120 0.621 0.241
Tm3 Tm 0.000 0.000 0.000
```

The energy relative to the elements is 0.12 eV per atom. Its calculated volume is 270.56 Å³ per cell. For the energy, the calculation gives -4.595 eV per atom. The density of states at the Fermi level is 13.2 states/eV/cell. The energy relative to the lowest polymorph listed for this composition comes out at 0.70 eV per formula unit.

=====

[2]
La2Pm2Tm3: relaxed, PBE.

```
data_La2Pm2Tm3
_space_group_name_H-M_alt 'P 1'
_space_group_IT_number 1
_space_group_name_Hall 'P 1'
_cell_length_a 6.528
_cell_length_b 11.337
_cell_length_c 6.420
_cell_angle_alpha 90.00
_cell_angle_beta 84.68
_cell_angle_gamma 90.00
loop_
_atom_site_label
_atom_site_type_symbol
_atom_site_fract_x
_atom_site_fract_y
_atom_site_fract_z
Tm1 Tm 0.454 0.962 0.256
La1 La 0.769 0.725 0.887
La2 La 0.231 0.275 0.113
Tm2 Tm 0.546 0.038 0.744
La3 La 0.269 0.775 0.887
Pm1 Pm 0.961 0.847 0.450
Tm3 Tm 0.500 0.500 0.000
Tm4 Tm 0.046 0.462 0.744
La4 La 0.731 0.225 0.113
Tm5 Tm 0.000 0.000 0.000
Tm6 Tm 0.954 0.538 0.256
Pm2 Pm 0.461 0.653 0.450
Pm3 Pm 0.539 0.347 0.550
Pm4 Pm 0.039 0.153 0.550
```

The energy relative to the elements is 0.18 eV per atom. Its calculated volume is 473.12 Å³ per cell. For the energy, the calculation gives -4.501 eV per atom. The density of states at the Fermi level is 22.7 states/eV/cell. The energy relative to the lowest polymorph listed for this composition comes out at 0.00 eV per formula unit.

=====

[3]
La2Pm12Tm5: relaxed, PBE.

```
data_La2Pm12Tm5
_space_group_name_H-M_alt 'P 1'
_space_group_IT_number 1
_space_group_name_Hall 'P 1'
_cell_length_a 9.377
_cell_length_b 12.613
_cell_length_c 8.699
_cell_angle_alpha 132.95
_cell_angle_beta 90.00
_cell_angle_gamma 111.82
loop_
_atom_site_label
_atom_site_type_symbol
_atom_site_fract_x
_atom_site_fract_y
_atom_site_fract_z
Tm1 Tm 0.000 0.000 0.500
Tm2 Tm 0.770 0.540 0.112
Pm1 Pm 0.909 0.818 0.700
Pm2 Pm 0.091 0.182 0.300
Tm3 Tm 0.230 0.460 0.888
Pm3 Pm 0.433 0.250 0.592
Pm4 Pm 0.664 0.688 0.925
Pm5 Pm 0.567 0.750 0.408
Tm4 Tm 0.700 0.399 0.382
Pm6 Pm 0.024 0.688 0.925
Pm7 Pm 0.336 0.312 0.075
Pm8 Pm 0.818 0.250 0.592
La1 La 0.677 0.000 0.000
Pm9 Pm 0.182 0.750 0.408
Pm10 Pm 0.566 0.131 0.797
Pm11 Pm 0.434 0.869 0.203
La2 La 0.323 0.000 0.000
Tm5 Tm 0.300 0.601 0.618
Pm12 Pm 0.976 0.312 0.075
```

The energy relative to the elements is 0.13 eV per atom. Its calculated volume is 648.80 Å³ per cell. For the energy, the calculation gives -4.562 eV per atom. The density of states at the Fermi level is 26.6 states/eV/cell. The energy relative to the lowest polymorph listed for this composition comes out at 0.00 eV per formula unit.

=====

[4]
La2Pm3Tm: relaxed, PBE.

```
data_La2Pm3Tm
_space_group_name_H-M_alt 'P 1'
_space_group_IT_number 1
_space_group_name_Hall 'P 1'
_cell_length_a 7.966
_cell_length_b 6.869
_cell_length_c 7.966
_cell_angle_alpha 98.92
_cell_angle_beta 100.02
_cell_angle_gamma 81.08
loop_
_atom_site_label
_atom_site_type_symbol
_atom_site_fract_x
_atom_site_fract_y
_atom_site_fract_z
La1 La 0.195 0.500 0.195
Pm1 Pm 0.567 0.809 0.115
La2 La 0.156 0.000 0.156
Pm2 Pm 0.433 0.191 0.885
La3 La 0.805 0.500 0.805
Pm3 Pm 0.115 0.191 0.567
La4 La 0.844 0.000 0.844
Pm4 Pm 0.767 0.335 0.233
Pm5 Pm 0.233 0.665 0.767
Tm1 Tm 0.517 0.227 0.483
Pm6 Pm 0.885 0.809 0.433
Tm2 Tm 0.483 0.773 0.517
```

The energy relative to the elements is 0.18 eV per atom. Its calculated volume is 420.41 Å³ per cell. For the energy, the calculation gives -4.584 eV per atom. The density of states at the Fermi level is 21.3 states/eV/cell. The energy relative to the lowest polymorph listed for this composition comes out at 0.69 eV per formula unit.

=====

[5]
La5Pm2Tm2: relaxed, PBE.

```
data_La5Pm2Tm2
_space_group_name_H-M_alt 'P 1'
_space_group_IT_number 1
_space_group_name_Hall 'P 1'
_cell_length_a 6.380
_cell_length_b 6.382
_cell_length_c 14.253
_cell_angle_alpha 57.96
_cell_angle_beta 132.65
_cell_angle_gamma 132.16
loop_
_atom_site_label
_atom_site_type_symbol
_atom_site_fract_x
_atom_site_fract_y
_atom_site_fract_z
La1 La 0.778 0.668 0.446
La2 La 0.445 0.666 0.111
La3 La 0.000 0.000 0.000
Pm1 Pm 0.670 0.998 0.668
La4 La 0.222 0.332 0.554
Pm2 Pm 0.330 0.002 0.332
Tm1 Tm 0.108 0.668 0.776
La5 La 0.555 0.334 0.889
Tm2 Tm 0.892 0.332 0.224
```

The energy relative to the elements is 0.03 eV per atom. Its calculated volume is 313.34 Å³ per cell. For the energy, the calculation gives -4.760 eV per atom. The density of states at the Fermi level is 17.0 states/eV/cell. The energy relative to the lowest polymorph listed for this composition comes out at 0.00 eV per formula unit.

=====

[6]
LaPmTm2: relaxed, PBE.

```
data_LaPmTm2
_space_group_name_H-M_alt 'P 1'
_space_group_IT_number 1
_space_group_name_Hall 'P 1'
_cell_length_a 5.733
_cell_length_b 5.733
_cell_length_c 5.733
_cell_angle_alpha 60.00
_cell_angle_beta 60.00
_cell_angle_gamma 60.00
loop_
_atom_site_label
_atom_site_type_symbol
_atom_site_fract_x
_atom_site_fract_y
_atom_site_fract_z
La1 La 0.500 0.500 0.500
Tm1 Tm 0.750 0.750 0.750
Tm2 Tm 0.250 0.250 0.250
Pm1 Pm 0.000 0.000 0.000
```

The energy relative to the elements is 0.09 eV per atom. Its calculated volume is 133.22 Å³ per cell. For the energy, the calculation gives -4.570 eV per atom. The density of states at the Fermi level is 6.8 states/eV/cell. The energy relative to the lowest polymorph listed for this composition comes out at 0.27 eV per formula unit.

=====

- What is the formula in the fifth record?
  La5Pm2Tm2

=====

- Among the records above, which one has the lowest energy?
  La5Pm2Tm2

=====

- energy of number 3 (La2Pm12Tm5)?
  -4.562 eV per atom